No. 1
The following is a PBE calculation of crystalline NdAl4 at its relaxed geometry, from Alexandria via LeMat-Bulk.

ΔE to the lowest computed polymorph: 0 meV/atom
E_form: -342 meV per atom
Mass density: 4.16 g/cm³

a b c (Å): 4.5083 6.4752 7.9506
angles (deg): 114.03 106.47 90.00
With the nearest neighbours (Å) after each atom.
Element x y z (fractional)
Al (0.6980, 0.6546, 0.3960)  7 Al 2.67-2.92
Al (0.5000, 0.0000, 0.0000)  2 Al 2.75
Al (0.3020, 0.3454, 0.6040)  7 Al 2.67-2.92
Al (0.5000, 0.5000, 0.0000)  2 Al 2.75
Al (0.3020, 0.7586, 0.6040)  7 Al 2.67-2.92
Al (0.6980, 0.2414, 0.3960)  7 Al 2.67-2.92
Nd (0.8854, 0.1354, 0.7708)  13 Al 3.16-3.24
Nd (0.1146, 0.8646, 0.2292)  13 Al 3.16-3.24
Al (0.1142, 0.3642, 0.2285)  10 Al 2.87-3.19, 1 Nd 3.16
Al (0.8858, 0.6358, 0.7715)  10 Al 2.87-3.19, 1 Nd 3.16



No. 2
The following is a PBE calculation of crystalline ZrCu3P at its relaxed geometry, from Alexandria via LeMat-Bulk.

ΔE to the lowest computed polymorph: 1431 meV/atom
E_form: 1637 meV per atom
Mass density: 4.59 g/cm³

a b c (Å): 4.8354 4.8354 4.8354
angles (deg): 90.00 90.00 90.00
With the nearest neighbours (Å) after each atom.
Element x y z (fractional)
P (0.5000, 0.5000, 0.5000)  12 Cu 3.42
Zr (0.0000, 0.0000, 0.0000)  6 Cu 2.42
Cu (0.0000, 0.0000, 0.5000)  2 Zr 2.42
Cu (0.5000, 0.0000, 0.0000)  2 Zr 2.42
Cu (0.0000, 0.5000, 0.0000)  2 Zr 2.42



No. 3
The following is a PBE calculation of crystalline NbRe2B at its relaxed geometry, from Alexandria via LeMat-Bulk.

E_form: 432 meV per atom
Mass density: 13.45 g/cm³

a b c (Å): 2.9403 2.9403 8.0310
angles (deg): 79.45 79.45 60.00
With the nearest neighbours (Å) after each atom.
Element x y z (fractional)
Re (0.8892, 0.8892, 0.3324)  3 B 2.15
Re (0.1108, 0.1108, 0.6676)  3 B 2.15
Nb (0.0000, 0.0000, 0.0000)  2 Re 2.61
B (0.5000, 0.5000, 0.5000)  6 Re 2.15



No. 4
The following is a PBE calculation of crystalline Ce3InB2Rh9 at its relaxed geometry, from Alexandria via LeMat-Bulk.

E_form: -604 meV per atom
Mass density: 9.25 g/cm³

a b c (Å): 5.7927 5.7927 9.1628
angles (deg): 90.00 90.00 120.00
With the nearest neighbours (Å) after each atom.
Element x y z (fractional)
B (0.3333, 0.6667, 0.1421)  6 Rh 2.05-2.12
Rh (0.3238, 0.1619, 0.7358)  1 B 2.05
B (0.6667, 0.3333, 0.8579)  6 Rh 2.05-2.12
Ce (0.3333, 0.6667, 0.6915)  6 Rh 2.92
Rh (0.5000, 0.0000, 0.0000)  2 B 2.12
Ce (0.6667, 0.3333, 0.3085)  6 Rh 2.92
Rh (0.8381, 0.1619, 0.7358)  1 B 2.05
Ce (0.0000, 0.0000, 0.0000)  12 Rh 2.90-2.92
Rh (0.8381, 0.6762, 0.7358)  1 B 2.05
In (0.0000, 0.0000, 0.5000)  6 Rh 2.70
Rh (0.0000, 0.5000, 0.0000)  2 B 2.12
Rh (0.6762, 0.8381, 0.2642)  1 B 2.05
Rh (0.1619, 0.3238, 0.2642)  1 B 2.05
Rh (0.1619, 0.8381, 0.2642)  1 B 2.05
Rh (0.5000, 0.5000, 0.0000)  2 B 2.12



No. 5
The following is a PBE calculation of crystalline La2CuNi3P4 at its relaxed geometry, from Alexandria via LeMat-Bulk.

E_form: -959 meV per atom
Mass density: 6.74 g/cm³

a b c (Å): 4.1297 4.1297 9.2666
angles (deg): 90.00 90.00 90.00
With the nearest neighbours (Å) after each atom.
Element x y z (fractional)
P (0.0000, 0.5000, 0.3672)  3 Ni 2.39-2.40, 2 Cu 2.40
P (0.5000, 0.0000, 0.6328)  3 Ni 2.39-2.40, 2 Cu 2.40
P (0.0000, 0.0000, 0.0000)  4 Ni 2.30
Cu (0.5000, 0.5000, 0.5000)  4 P 2.40
Ni (0.0000, 0.0000, 0.5000)  4 P 2.40
La (0.5000, 0.0000, 0.2469)  8 P 3.08-3.13, 2 Cu 3.12, 7 Ni 3.12-3.30
P (0.5000, 0.5000, 0.0000)  4 Ni 2.30
Ni (0.0000, 0.5000, 0.1098)  5 P 2.30-2.39
La (0.0000, 0.5000, 0.7531)  8 P 3.08-3.13, 2 Cu 3.12, 7 Ni 3.12-3.30
Ni (0.5000, 0.0000, 0.8902)  5 P 2.30-2.39



No. 6
The following is a PBE calculation of crystalline Hf2Zn2Hg at its relaxed geometry, from Alexandria via LeMat-Bulk.

ΔE to the lowest computed polymorph: 291 meV/atom
E_form: 134 meV per atom
Mass density: 11.25 g/cm³

a b c (Å): 7.8986 7.8986 3.2572
angles (deg): 90.00 90.00 90.00
With the nearest neighbours (Å) after each atom.
Element x y z (fractional)
Hg (0.0000, 0.0000, 0.0000)  4 Hf 3.02, 2 Hg 3.26
Hf (0.1465, 0.3535, 0.0000)  6 Zn 2.79-2.86, 2 Hg 3.02
Zn (0.1508, 0.6508, 0.5000)  6 Hf 2.79-2.86
Hf (0.6465, 0.1465, 0.0000)  6 Zn 2.79-2.86, 2 Hg 3.02
Zn (0.6508, 0.8492, 0.5000)  6 Hf 2.79-2.86
Hf (0.8535, 0.6465, 0.0000)  6 Zn 2.79-2.86, 2 Hg 3.02
Hg (0.5000, 0.5000, 0.0000)  4 Hf 3.02, 2 Hg 3.26
Hf (0.3535, 0.8535, 0.0000)  6 Zn 2.79-2.86, 2 Hg 3.02
Zn (0.8492, 0.3492, 0.5000)  6 Hf 2.79-2.86
Zn (0.3492, 0.1508, 0.5000)  6 Hf 2.79-2.86



No. 7
The following is a PBE calculation of crystalline Sr5PuN4 at its relaxed geometry, from Alexandria via LeMat-Bulk.

Formation energy (no corrections): -0.68 eV/atom
Mass density: 4.92 g/cm³

a b c (Å): 3.6895 7.5591 9.3634
angles (deg): 103.16 101.36 90.00
With the nearest neighbours (Å) after each atom.
Element x y z (fractional)
N (0.3842, 0.9370, 0.7684)  1 Pu 2.07
Sr (0.5000, 0.5000, 0.0000)  4 N 2.81
N (0.6158, 0.0630, 0.2316)  1 Pu 2.07
Sr (0.1432, 0.8540, 0.2865)  3 N 2.55-2.57
N (0.9992, 0.7807, 0.9985)  2 Pu 2.48, 2 Sr 2.57-2.61
Sr (0.8530, 0.6961, 0.7060)  3 N 2.56-2.61
N (0.0008, 0.2193, 0.0015)  2 Pu 2.48, 2 Sr 2.57-2.61
Sr (0.8568, 0.1460, 0.7135)  3 N 2.55-2.57
Sr (0.1470, 0.3039, 0.2940)  3 N 2.56-2.61
Pu (0.5000, 0.0000, 0.0000)  2 N 2.07



No. 8
The following is a PBE calculation of crystalline RbLiErSe2 at its relaxed geometry, from Alexandria via LeMat-Bulk.

Formation energy (no corrections): -1.16 eV/atom
Mass density: 4.07 g/cm³

a b c (Å): 6.1734 7.3205 8.3808
angles (deg): 115.90 90.00 90.00
With the nearest neighbours (Å) after each atom.
Element x y z (fractional)
Se (0.2967, 0.3911, 0.7821)  1 Li 2.46
Rb (0.7748, 0.2500, 0.5000)  4 Se 3.64-3.86, 2 Li 4.02
Li (0.0000, 0.0000, 0.0000)  2 Se 2.46
Rb (0.2252, 0.7500, 0.5000)  4 Se 3.64-3.86, 2 Li 4.02
Li (0.0000, 0.5000, 0.0000)  2 Se 2.46
Se (0.2967, 0.1089, 0.2179)  1 Li 2.46
Se (0.7033, 0.6089, 0.2179)  1 Li 2.46
Er (0.5000, 0.2500, 0.0000)  4 Se 2.76
Se (0.7033, 0.8911, 0.7821)  1 Li 2.46
Er (0.5000, 0.7500, 0.0000)  4 Se 2.76



No. 9
The following is a PBE calculation of crystalline AcB6 at its relaxed geometry, from Alexandria via LeMat-Bulk.

E_form: -534 meV per atom
Mass density: 6.52 g/cm³

a b c (Å): 4.2044 4.2044 4.2044
angles (deg): 90.00 90.00 90.00
With the nearest neighbours (Å) after each atom.
Element x y z (fractional)
B (0.5000, 0.2006, 0.5000)  5 B 1.69-1.78
B (0.5000, 0.5000, 0.7994)  5 B 1.69-1.78
B (0.5000, 0.5000, 0.2006)  5 B 1.69-1.78
B (0.2006, 0.5000, 0.5000)  5 B 1.69-1.78
B (0.7994, 0.5000, 0.5000)  5 B 1.69-1.78
B (0.5000, 0.7994, 0.5000)  5 B 1.69-1.78
Ac (0.0000, 0.0000, 0.0000)  24 B 3.09



No. 10
The following is a PBE calculation of crystalline NaGe2RuRh at its relaxed geometry, from Alexandria via LeMat-Bulk.

E_form: -370 meV per atom
Mass density: 6.86 g/cm³

a b c (Å): 4.2316 4.2316 5.8539
angles (deg): 111.19 111.19 90.00
With the nearest neighbours (Å) after each atom.
Element x y z (fractional)
Rh (0.7500, 0.2500, 0.5000)  4 Ge 2.44
Ru (0.2500, 0.7500, 0.5000)  4 Ge 2.44
Ge (0.6293, 0.6293, 0.2587)  2 Ru 2.44, 2 Rh 2.44, 1 Ge 2.60
Ge (0.3707, 0.3707, 0.7413)  2 Rh 2.44, 2 Ru 2.44, 1 Ge 2.60
Na (0.0000, 0.0000, 0.0000)  8 Ge 3.26, 4 Ru 3.29, 4 Rh 3.29



No. 11
The following is a PBE calculation of crystalline Tc2MoN4 at its relaxed geometry, from Alexandria via LeMat-Bulk.

Formation energy (no corrections): 0.79 eV/atom
Mass density: 6.81 g/cm³

a b c (Å): 4.0424 4.0424 5.9277
angles (deg): 70.06 70.06 90.00
With the nearest neighbours (Å) after each atom.
Element x y z (fractional)
Mo (0.0000, 0.0000, 0.0000)  6 N 2.02-2.16
Tc (0.3729, 0.3729, 0.2542)  1 N 1.71
N (0.2082, 0.2082, 0.5837)  1 Tc 1.71
N (0.5000, 0.0000, 0.0000)  2 Mo 2.02
N (0.0000, 0.5000, 0.0000)  2 Mo 2.02
N (0.7918, 0.7918, 0.4163)  1 Tc 1.71
Tc (0.6271, 0.6271, 0.7458)  1 N 1.71



No. 12
The following is a PBE calculation of crystalline Hg6PICl2 at its relaxed geometry, from Alexandria via LeMat-Bulk.

Formation energy (no corrections): -0.09 eV/atom
Mass density: 7.67 g/cm³

a b c (Å): 8.4783 7.2887 7.1725
angles (deg): 120.54 120.13 90.00
With the nearest neighbours (Å) after each atom.
Element x y z (fractional)
Hg (0.3812, 0.6826, 0.3652)  1 Cl 2.64, 1 P 2.65
Hg (0.1100, 0.1439, 0.7944)  1 P 2.70, 1 Hg 2.97
Hg (0.6188, 0.3174, 0.6348)  1 Cl 2.64, 1 P 2.65
Cl (0.7620, 0.8114, 0.6228)  1 Hg 2.64
P (0.0000, 0.5000, 0.0000)  6 Hg 2.65-2.70
Cl (0.2380, 0.1886, 0.3772)  1 Hg 2.64
Hg (0.8900, 0.3495, 0.2056)  1 P 2.70, 1 Hg 2.97
I (0.5000, 0.0000, 0.0000)  6 Hg 3.30-3.43
Hg (0.8900, 0.8561, 0.2056)  1 P 2.70, 1 Hg 2.97
Hg (0.1100, 0.6505, 0.7944)  1 P 2.70, 1 Hg 2.97



No. 13
The following is a PBE calculation of crystalline K3FeC at its relaxed geometry, from Alexandria via LeMat-Bulk.

ΔE to the lowest computed polymorph: 0 meV/atom
E_form: 1617 meV per atom
Mass density: 1.65 g/cm³

a b c (Å): 5.7140 5.7140 5.7140
angles (deg): 90.00 90.00 90.00
With the nearest neighbours (Å) after each atom.
Element x y z (fractional)
K (0.0000, 0.5000, 0.0000)  2 C 2.86
K (0.0000, 0.0000, 0.5000)  2 C 2.86
K (0.5000, 0.0000, 0.0000)  2 C 2.86
Fe (0.5000, 0.5000, 0.5000)  12 K 4.04
C (0.0000, 0.0000, 0.0000)  6 K 2.86